Mo3Rh | GGA-PBE | relaxed

Results
- calculated formation energy (kJ/mol of formula units) = 33

Cell: 4.883 4.883 2.756 Å, 90.00 90.00 109.79°
Sites, in units of the cell vectors:
Rh 0.500 0.500 0.000
Mo 0.500 0.000 0.500
Mo 0.000 0.500 0.500
Mo 0.000 0.000 0.000

=====

Mo2Rh | GGA-PBE | relaxed

Results
- calculated formation energy (kJ/mol of formula units) = -19

Cell: 6.480 6.480 2.720 Å, 77.89 77.88 24.23°
Sites, in units of the cell vectors:
Mo 0.341 0.341 0.659
Mo 0.659 0.659 0.341
Rh 0.000 0.000 0.000

=====

MoRh | GGA-PBE | relaxed

Results
- calculated formation energy (kJ/mol of formula units) = -19

Cell: 2.778 13.610 4.779 Å, 90.00 90.00 90.00°
Sites, in units of the cell vectors:
Rh 0.000 0.000 0.878
Rh 0.000 0.323 0.693
Rh 0.000 0.677 0.693
Rh 0.000 0.823 0.193
Rh 0.000 0.177 0.193
Rh 0.000 0.500 0.378
Mo 0.500 0.653 0.189
Mo 0.500 0.847 0.689
Mo 0.500 0.347 0.189
Mo 0.500 0.153 0.689
Mo 0.500 0.000 0.360
Mo 0.500 0.500 0.860

=====

Mo3Rh | GGA-PBE | relaxed

Results
- calculated formation energy (kJ/mol of formula units) = 19

Cell: 6.422 4.381 8.278 Å, 90.00 164.59 90.00°
Sites, in units of the cell vectors:
Mo 0.455 0.000 0.955
Mo 0.045 0.000 0.045
Mo 0.750 0.500 0.000
Rh 0.250 0.500 0.000

=====

MoRh3 | GGA-PBE | relaxed

Results
- calculated formation energy (kJ/mol of formula units) = 69

Cell: 5.114 5.114 5.114 Å, 116.97 116.97 116.97°
Sites, in units of the cell vectors:
Mo 0.000 0.000 0.000
Rh 0.500 0.500 0.000
Rh 0.000 0.500 0.500
Rh 0.500 0.000 0.500

=====

Mo3Rh | GGA-PBE | relaxed

Results
- calculated formation energy (kJ/mol of formula units) = 26

Cell: 3.953 3.953 3.953 Å, 90.00 90.00 90.00°
Sites, in units of the cell vectors:
Mo 0.000 0.500 0.500
Mo 0.500 0.000 0.500
Mo 0.000 0.000 0.000
Rh 0.500 0.500 0.000

=====

Mo5Rh | GGA-PBE | relaxed

Results
- calculated formation energy (kJ/mol of formula units) = 339
- relative energy among the computed polymorphs (eV/f.u.) = 3.04

Cell: 5.183 5.183 4.449 Å, 90.00 90.00 120.00°
Sites, in units of the cell vectors:
Mo 0.333 0.667 0.000
Mo 0.000 0.500 0.500
Mo 0.667 0.333 0.000
Mo 0.500 0.500 0.500
Mo 0.500 0.000 0.500
Rh 0.000 0.000 0.000

=====

Mo3Rh | GGA-PBE | relaxed

Results
- calculated formation energy (kJ/mol of formula units) = 75

Cell: 4.453 4.453 4.453 Å, 60.00 60.00 60.00°
Each line ends with the local moment (μB).
Sites, in units of the cell vectors:
Rh 0.250 0.250 0.250  0.38
Mo 0.500 0.500 0.500  0.32
Mo 0.750 0.750 0.750  -0.01
Mo 0.000 0.000 0.000  0.32

=====

MoRh | GGA-PBE | relaxed

Results
- calculated formation energy (kJ/mol of formula units) = 273

Cell: 6.867 6.867 6.867 Å, 90.00 90.00 90.00°
Sites, in units of the cell vectors:
Mo 0.000 0.500 0.750
Mo 0.500 0.750 0.000
Mo 0.000 0.500 0.250
Mo 0.750 0.000 0.500
Mo 0.250 0.000 0.500
Mo 0.500 0.250 0.000
Rh 0.000 0.250 0.500
Rh 0.500 0.000 0.250
Rh 0.000 0.750 0.500
Rh 0.500 0.000 0.750
Rh 0.250 0.500 0.000
Rh 0.750 0.500 0.000

=====

Mo4Rh | GGA-PBE | relaxed

Results
- calculated formation energy (kJ/mol of formula units) = 894
- relative energy among the computed polymorphs (eV/f.u.) = 8.86

Cell: 4.632 4.632 4.632 Å, 90.00 90.00 90.00°
Sites, in units of the cell vectors:
Mo 0.500 0.500 0.000
Mo 0.000 0.000 0.000
Mo 0.000 0.500 0.500
Mo 0.500 0.000 0.500
Rh 0.500 0.500 0.500

=====

Mo2Rh5 | GGA-PBE | relaxed

Results
- calculated formation energy (kJ/mol of formula units) = -77

Cell: 4.786 2.758 18.158 Å, 90.00 121.33 90.00°
Sites, in units of the cell vectors:
Rh 0.256 0.750 0.503
Rh 0.443 0.750 0.929
Rh 0.744 0.250 0.497
Rh 0.679 0.750 0.215
Rh 0.066 0.750 0.077
Rh 0.557 0.250 0.071
Rh 0.321 0.250 0.785
Rh 0.878 0.750 0.646
Rh 0.934 0.250 0.923
Rh 0.122 0.250 0.354
Mo 0.358 0.250 0.642
Mo 0.835 0.750 0.787
Mo 0.642 0.750 0.358
Mo 0.165 0.250 0.213

=====

Mo3Rh5 | GGA-PBE | relaxed

Results
- calculated formation energy (kJ/mol of formula units) = 85
- relative energy among the computed polymorphs (eV/f.u.) = 2.24

Cell: 8.586 8.584 5.023 Å, 90.00 90.00 137.87°
Sites, in units of the cell vectors:
Mo 0.975 0.419 0.750
Mo 0.419 0.975 0.750
Mo 0.581 0.025 0.250
Mo 0.389 0.389 0.250
Mo 0.025 0.581 0.250
Mo 0.611 0.611 0.750
Rh 0.817 0.817 0.250
Rh 0.639 0.361 0.500
Rh 0.361 0.639 0.000
Rh 0.000 0.756 0.750
Rh 0.361 0.639 0.500
Rh 0.000 0.244 0.250
Rh 0.639 0.361 0.000
Rh 0.183 0.183 0.750
Rh 0.756 0.000 0.750
Rh 0.244 0.000 0.250

=====

| no. | M_tot (μB per formula unit) |
| --- | --- |
| 1 | 0.00 |
| 2 | 0.00 |
| 3 | 0.00 |
| 4 | 0.00 |
| 5 | 0.00 |
| 6 | 0.00 |
| 7 | 0.00 |
| 8 | 1.06 |
| 9 | 0.00 |
| 10 | 0.03 |
| 11 | 0.00 |
| 12 | 0.00 |